Record 1
## PrYAlSi (PBE)

Data for crystalline PrYAlSi at its relaxed geometry.

Computed properties:
The value obtained for the raw total energy is -45.83 eV per cell. As for the formation energy (no corrections): -0.627 eV per atom. The value obtained for the mass density is 4.7 g cm⁻³.

abc: 4.047 4.422 11.157
angles: 90.00 90.00 90.00
Space group Amm2 (No. 38)
One atom of each set of equivalent atoms:
Pr  0.000  0.000  0.000
Y  0.500  0.000  0.283
Al  0.500  0.000  0.578
Si  0.000  0.000  0.719



Record 2
## PrAlZn2Si (PBE)

Data for crystalline PrAlZn2Si at its relaxed geometry.

Computed properties:
The value obtained for the raw total energy is -37.22 eV per cell. As for the formation energy (no corrections): -0.424 eV per atom. The value obtained for the mass density is 5.7 g cm⁻³.

abc: 4.171 4.179 10.833
angles: 90.00 90.00 90.00
Space group Imm2 (No. 44)
One atom of each set of equivalent atoms:
Pr  0.000  0.000  0.000
Al  0.000  0.500  0.754
Zn  0.000  0.000  0.619
Zn  0.000  0.500  0.254
Si  0.000  0.000  0.396



Record 3
## Pr4Sm2Al (PBE)

Data for crystalline Pr4Sm2Al at its relaxed geometry.

Computed properties:
The value obtained for the raw total energy is -97.01 eV per cell. For the energy of formation, the calculation gives -0.005 eV/atom. The value obtained for the mass density is 6.3 g cm⁻³.

abc: 3.7119 3.7119 59.5094
angles: 90.00 90.00 120.00
Space group R-3m (No. 166, hexagonal axes)
One atom of each set of equivalent atoms:
Pr  0.0000  0.0000  0.0923
Pr  0.0000  0.0000  0.2944
Sm  0.0000  0.0000  0.1913
Al  0.0000  0.0000  0.0000



Record 4
## PrSmAl2 (PBE)

Data for crystalline PrSmAl2 at its relaxed geometry.

Computed properties:
The value obtained for the raw total energy is -18.41 eV per cell. For the energy of formation, the calculation gives -0.356 eV/atom. The value obtained for the mass density is 5.6 g cm⁻³.

abc: 3.723 3.723 7.429
angles: 90.00 90.00 90.00
Space group P4/mmm (No. 123)
One atom of each set of equivalent atoms:
Pr  0.000  0.000  0.000
Sm  0.000  0.000  0.500
Al  0.500  0.500  0.259



Record 5
## Pr2Sm2Al (PBE)

Data for crystalline Pr2Sm2Al at its relaxed geometry.

Computed properties:
Its relative energy among the computed polymorphs is 0.0 kJ/mol of atoms. The value obtained for the raw total energy is -46.75 eV per cell. For the energy of formation, the calculation gives -0.127 eV/atom. The value obtained for the mass density is 6.4 g cm⁻³.

abc: 3.635 3.635 23.790
angles: 90.00 90.00 90.00
Space group I4/mmm (No. 139)
One atom of each set of equivalent atoms:
Pr  0.000  0.000  0.193
Sm  0.000  0.000  0.420
Al  0.000  0.000  0.000



Record 6
## Pr6Sm2Al (PBE)

Data for crystalline Pr6Sm2Al at its relaxed geometry.

Computed properties:
The value obtained for the raw total energy is -83.86 eV per cell. For the energy of formation, the calculation gives -0.008 eV/atom. The value obtained for the mass density is 6.4 g cm⁻³.

abc: 10.461 10.531 5.531
angles: 90.00 90.00 90.00
Space group Pnnm (No. 58)
One atom of each set of equivalent atoms:
Pr  0.036  0.189  0.000
Pr  0.126  0.619  0.500
Pr  0.189  0.953  0.500
Sm  0.213  0.277  0.500
Al  0.000  0.500  0.000